(1)
Computed, not measured: a relaxed PrY2Zn4Si4 crystal at the PBE level of DFT.

Geometry as POSCAR:
```
PrY2Zn4Si4
1.0
-2.043 2.063 12.351
2.043 -2.063 12.351
2.043 2.063 -12.351
Si Zn Pr Y
4 4 1 2
direct
0.810 0.310 0.500
0.452 0.452 0.000
0.548 0.548 0.000
0.190 0.690 0.500
0.750 0.750 0.000
0.095 0.595 0.500
0.905 0.405 0.500
0.250 0.250 0.000
0.000 0.000 0.000
0.356 0.856 0.500
0.644 0.144 0.500
```

Values from the calculation:
- E: -50.4 eV per cell
- Symmetry: Immm, No. 71

(2)
Computed, not measured: a relaxed Pr2YZn4Si4 crystal at the PBE level of DFT.

Geometry as POSCAR:
```
Pr2YZn4Si4
1.0
1.478 11.072 6.088
2.866 12.383 0.545
-4.979 -11.061 -3.835
Zn Si Pr Y
4 4 2 1
direct
0.750 0.750 0.000
0.250 0.250 0.000
0.907 0.407 0.500
0.093 0.593 0.500
0.810 0.310 0.500
0.453 0.453 0.000
0.190 0.690 0.500
0.547 0.547 0.000
0.644 0.144 0.500
0.356 0.856 0.500
0.000 0.000 0.000
```

Values from the calculation:
- E: -49.0 eV per cell
- Symmetry: Immm, No. 71

(3)
Computed, not measured: a relaxed PrZn2Si2 crystal at the PBE level of DFT.

Geometry as POSCAR:
```
PrZn2Si2
1.0
-2.067 2.067 5.399
2.067 -2.067 5.399
2.067 2.067 -5.399
Si Zn Pr
2 2 1
direct
0.612 0.612 0.000
0.388 0.388 0.000
0.250 0.750 0.500
0.750 0.250 0.500
0.000 0.000 0.000
```

Values from the calculation:
- Symmetry: I4/mmm, No. 139
- Excess energy over the best structure of this formula in the dataset: 0.00 kcal/mol of atoms

(4)
Computed, not measured: a relaxed PrZn2Si2 crystal at the PBE level of DFT.

Geometry as POSCAR:
```
PrZn2Si2
1.0
4.314 1.147 3.761
-0.525 -2.237 5.366
-0.430 -1.982 -5.474
Pr Si Zn
1 2 2
direct
0.000 0.000 0.000
0.750 0.250 0.500
0.250 0.750 0.500
0.622 0.622 0.000
0.378 0.378 0.000
```

Values from the calculation:
- Symmetry: I4/mmm, No. 139
- Excess energy over the best structure of this formula in the dataset: 2.15 kcal/mol of atoms

(5)
Computed, not measured: a relaxed Pr2ZnSi3 crystal at the PBE level of DFT.

Geometry as POSCAR:
```
Pr2ZnSi3
1.0
-1.458 0.281 -3.901
1.529 -3.907 -0.853
-6.121 -2.850 2.081
Zn Pr Si
1 2 3
direct
0.500 0.000 0.670
0.000 0.500 0.493
0.500 0.500 0.006
0.500 0.000 0.331
0.000 0.000 0.167
0.000 0.000 0.833
```

Values from the calculation:
- E: -31.1 eV per cell
- Symmetry: Pmm2, No. 25

(6)
Computed, not measured: a relaxed PrZr3Si4 crystal at the PBE level of DFT.

Geometry as POSCAR:
```
PrZr3Si4
1.0
5.492 0.000 0.000
0.000 3.825 0.000
-0.166 0.000 7.380
Si Zr Pr
4 3 1
direct
0.135 0.000 0.031
0.357 0.000 0.547
0.633 0.500 0.477
0.872 0.500 0.945
0.122 0.500 0.329
0.374 0.500 0.815
0.882 0.000 0.677
0.626 0.000 0.178
```

Values from the calculation:
- E: -58.5 eV per cell
- Symmetry: Pm, No. 6

(7)
Computed, not measured: a relaxed Pr3ZrSi4 crystal at the PBE level of DFT.

Geometry as POSCAR:
```
Pr3ZrSi4
1.0
5.837 0.000 0.000
0.000 3.900 0.000
-0.238 0.000 8.028
Pr Si Zr
3 4 1
direct
0.123 0.500 0.681
0.384 0.500 0.175
0.882 0.000 0.320
0.388 0.000 0.474
0.631 0.500 0.554
0.858 0.500 0.021
0.114 0.000 0.959
0.621 0.000 0.817
```

Values from the calculation:
- E: -50.2 eV per cell
- Symmetry: Pm, No. 6

(8)
Computed, not measured: a relaxed PrSmSn crystal at the PBE level of DFT.

Geometry as POSCAR:
```
PrSmSn
1.0
0.000 3.744 3.744
3.744 0.000 3.744
3.744 3.744 0.000
Sn Sm Pr
1 1 1
direct
0.000 0.000 0.000
0.750 0.750 0.750
0.250 0.250 0.250
```

Values from the calculation:
- Symmetry: F-43m, No. 216
- Excess energy over the best structure of this formula in the dataset: 0.00 kcal/mol of atoms

no.,magnetic moment (μB/f.u.)
1,0.0
2,0.0
3,0.0
4,0.0
5,0.0
6,0.0
7,0.0
8,0.0